No. 1
Y4CoCu: optimized geometry, GGA-PBE.

The structure in POSCAR format:
```
Y4CoCu
1.0
7.6571 -0.2330 0.0000
-3.3052 6.9110 0.0000
-2.1760 -3.3390 6.5424
Y Cu Co
8 2 2
Direct
0.7813 0.9870 0.7942
0.2629 0.9607 0.6978
0.7370 0.4428 0.7058
0.1928 0.9870 0.2058
0.2629 0.5652 0.3022
0.7107 0.5129 0.1978
0.3152 0.5129 0.8022
0.7370 0.0313 0.2942
0.2486 0.2486 0.0000
0.9986 0.4986 0.5000
0.5015 0.0015 0.5000
0.7515 0.7515 0.0000
```

For the total moment, the calculation gives 0.00 μB per cell. As for the formation energy: -0.01 eV per atom. The density of states at the Fermi level comes out at 13.66 states/eV per cell.

=====

No. 2
YCo9Cu2: optimized geometry, GGA-PBE.

The structure in POSCAR format:
```
YCo9Cu2
1.0
-2.3863 3.3347 -2.4251
-5.6202 -5.3577 -1.8370
-4.0131 1.9408 6.6177
Cu Co Y
4 18 2
Direct
0.0000 0.1149 0.3851
0.0000 0.6149 0.1149
0.0000 0.8851 0.6149
0.0000 0.3851 0.8851
0.5000 0.2882 0.4314
0.2350 0.3211 0.1789
0.5000 0.5000 0.0000
0.5000 0.4314 0.7118
0.5000 0.7882 0.0686
0.5000 0.0000 0.5000
0.7650 0.8211 0.3211
0.5000 0.2118 0.9314
0.5000 0.0686 0.2118
0.7650 0.3211 0.1789
0.2350 0.1789 0.6789
0.7650 0.1789 0.6789
0.5000 0.7118 0.5686
0.2350 0.8211 0.3211
0.2350 0.6789 0.8211
0.5000 0.9314 0.7882
0.7650 0.6789 0.8211
0.5000 0.5686 0.2882
0.0000 0.0000 0.0000
0.0000 0.5000 0.5000
```

For the total moment, the calculation gives 26.70 μB per cell. As for the formation energy: -0.01 eV per atom. The density of states at the Fermi level comes out at 28.60 states/eV per cell.

=====

No. 3
Y5Co2Cu: optimized geometry, GGA-PBE.

The structure in POSCAR format:
```
Y5Co2Cu
1.0
-1.4696 6.7119 -2.6063
6.0064 -0.3242 -4.2215
-5.9899 -5.9817 -1.6670
Co Cu Y
4 2 10
Direct
0.1143 0.3857 0.0000
0.6143 0.1143 0.0000
0.8857 0.6143 0.0000
0.3857 0.8857 0.0000
0.7500 0.7500 0.5000
0.2500 0.2500 0.5000
0.0326 0.5326 0.7213
0.8114 0.9674 0.2787
0.5000 0.5000 0.0000
0.4674 0.3114 0.2787
0.1886 0.0326 0.7213
0.9674 0.4674 0.2787
0.3114 0.8114 0.2787
0.6886 0.1886 0.7213
0.0000 0.0000 0.0000
0.5326 0.6886 0.7213
```

For the total moment, the calculation gives 0.00 μB per cell. As for the formation energy: -0.16 eV per atom. The density of states at the Fermi level comes out at 15.21 states/eV per cell.

=====

No. 4
Y2Co2Cu: optimized geometry, GGA-PBE.

The structure in POSCAR format:
```
Y2Co2Cu
1.0
3.4094 0.0000 0.0000
0.0000 3.4094 0.0000
1.7047 1.7047 8.2646
Co Y Cu
2 2 1
Direct
0.7500 0.2500 0.5000
0.2500 0.7500 0.5000
0.3916 0.3916 0.2169
0.6084 0.6084 0.7831
0.0000 0.0000 0.0000
```

For the total moment, the calculation gives 2.52 μB per cell. As for the formation energy: 0.04 eV per atom. The density of states at the Fermi level comes out at 5.63 states/eV per cell.

=====

No. 5
Y2Co2Cu: optimized geometry, GGA-PBE.

The structure in POSCAR format:
```
Y2Co2Cu
1.0
-0.7128 -4.7528 -4.7679
6.5618 0.5814 -1.5605
0.8790 -2.7952 2.6549
Co Y Cu
4 4 2
Direct
0.6190 0.1190 0.0000
0.8810 0.6190 0.0000
0.3810 0.8810 0.0000
0.1190 0.3810 0.0000
0.3192 0.1808 0.5000
0.8192 0.3192 0.5000
0.1808 0.6808 0.5000
0.6808 0.8192 0.5000
0.0000 0.0000 0.0000
0.5000 0.5000 0.0000
```

For the total moment, the calculation gives 0.00 μB per cell. As for the formation energy: -0.12 eV per atom. The density of states at the Fermi level comes out at 6.26 states/eV per cell.

=====

No. 6
Y2Co2Cu: optimized geometry, GGA-PBE.

The structure in POSCAR format:
```
Y2Co2Cu
1.0
-5.2576 0.3805 -5.6204
2.3674 -6.8268 -2.6768
-2.1268 -1.4784 1.8895
Co Y Cu
4 4 2
Direct
0.3647 0.1353 0.5000
0.8647 0.3647 0.5000
0.1353 0.6353 0.5000
0.6353 0.8647 0.5000
0.8406 0.6594 0.0000
0.1594 0.3406 0.0000
0.3406 0.8406 0.0000
0.6594 0.1594 0.0000
0.0000 0.0000 0.0000
0.5000 0.5000 0.0000
```

For the total moment, the calculation gives 0.00 μB per cell. As for the formation energy: 0.32 eV per atom. The density of states at the Fermi level comes out at 11.29 states/eV per cell.

=====

No. 7
YCo3Cu: optimized geometry, GGA-PBE.

The structure in POSCAR format:
```
YCo3Cu
1.0
-4.4332 -1.3074 0.0993
0.7774 -2.9028 -3.5131
1.0559 -3.3521 3.0035
Cu Co Y
1 3 1
Direct
0.5000 0.5000 0.5000
0.0000 0.5000 0.0000
0.0000 0.0000 0.5000
0.5000 0.0000 0.0000
0.0000 0.0000 0.0000
```

For the total moment, the calculation gives 3.12 μB per cell. As for the formation energy: 1.86 eV per atom. The density of states at the Fermi level comes out at 10.93 states/eV per cell.

=====

No. 8
Y8CoCu2: optimized geometry, GGA-PBE.

The structure in POSCAR format:
```
Y8CoCu2
1.0
-0.6410 0.3457 5.0693
-6.3077 -2.0373 -0.6587
5.0460 -7.2917 -1.4516
Co Y Cu
1 8 2
Direct
0.5000 0.0000 0.0000
0.3361 0.0251 0.6723
0.7997 0.6761 0.5994
0.4111 0.5645 0.8223
0.6639 0.9749 0.3277
0.0329 0.7936 0.0658
0.9671 0.2064 0.9342
0.5889 0.4355 0.1777
0.2003 0.3239 0.4006
0.1866 0.7262 0.3732
0.8134 0.2738 0.6268
```

For the total moment, the calculation gives 0.00 μB per cell. As for the formation energy: -0.10 eV per atom. The density of states at the Fermi level comes out at 9.94 states/eV per cell.

=====

No. 9
Y2CoCu: optimized geometry, GGA-PBE.

The structure in POSCAR format:
```
Y2CoCu
1.0
-4.8289 3.7395 -0.4299
0.0631 -5.9299 1.5228
4.7561 -2.2242 3.1495
Cu Co Y
1 1 2
Direct
0.0000 0.5000 0.5000
0.0000 0.0000 0.0000
0.0000 0.2358 0.2358
0.0000 0.7642 0.7642
```

For the total moment, the calculation gives 0.82 μB per cell. As for the formation energy: 0.83 eV per atom. The density of states at the Fermi level comes out at 2.35 states/eV per cell.

=====

No. 10
Y4CoCu: optimized geometry, GGA-PBE.

The structure in POSCAR format:
```
Y4CoCu
1.0
1.2380 1.1246 5.8654
0.2193 5.7500 2.0224
-4.3760 2.1033 3.6915
Co Y Cu
1 4 1
Direct
0.7500 0.7500 0.7500
0.8743 0.3752 0.3752
0.3752 0.3752 0.3752
0.3752 0.3752 0.8743
0.3752 0.8743 0.3752
0.0000 0.0000 0.0000
```

For the total moment, the calculation gives 1.86 μB per cell. As for the formation energy: 0.92 eV per atom. The density of states at the Fermi level comes out at 5.50 states/eV per cell.

=====

No. 11
Y2CoCu: optimized geometry, GGA-PBE.

The structure in POSCAR format:
```
Y2CoCu
1.0
4.8330 -0.0099 0.0152
0.0078 4.8330 0.0152
-0.0117 -0.0117 3.4173
Y Cu Co
2 1 1
Direct
0.0000 0.0000 0.0000
0.5000 0.5000 0.0000
0.0000 0.5000 0.5000
0.5000 0.0000 0.5000
```

For the total moment, the calculation gives 0.35 μB per cell. As for the formation energy: -0.17 eV per atom. The density of states at the Fermi level comes out at 2.58 states/eV per cell.

=====

No. 12
Y2CoCu: optimized geometry, GGA-PBE.

The structure in POSCAR format:
```
Y2CoCu
1.0
4.1366 0.0000 0.0000
0.0000 3.8762 0.0021
0.0000 1.9260 5.1987
Cu Y Co
1 2 1
Direct
0.5000 0.5577 0.7590
0.0000 0.9828 0.9097
0.5000 0.2643 0.3460
0.0000 0.6952 0.4853
```

For the total moment, the calculation gives 0.00 μB per cell. As for the formation energy: -0.21 eV per atom. The density of states at the Fermi level comes out at 4.17 states/eV per cell.

=====

No. 13
Y2CoCu: optimized geometry, GGA-PBE.

The structure in POSCAR format:
```
Y2CoCu
1.0
3.4113 0.0000 0.0000
0.0000 3.4113 0.0000
0.0000 0.0000 7.3389
Y Co Cu
2 1 1
Direct
0.5000 0.5000 0.3251
0.0000 0.0000 0.9220
0.0000 0.0000 0.5531
0.5000 0.5000 0.6998
```

For the total moment, the calculation gives 1.02 μB per cell. As for the formation energy: 0.03 eV per atom. The density of states at the Fermi level comes out at 3.20 states/eV per cell.